Record 1
Entry from Alexandria: a crystal of Ba5Cd4 relaxed with PBEsol (SCAN).

abc: 10.5050 10.5050 7.3605
angles: 90.00 90.00 120.00
With the nearest neighbours (Å) after each atom.
Space group P6_3/mcm (No. 193)
Asymmetric unit:
Ba (0.0000, 0.2831, 0.2500)  7 Cd 3.47-3.84
Ba (0.3333, 0.6667, 0.0000)  2 Ba 3.68, 6 Cd 3.74
Cd (0.0000, 0.0000, 0.0000)  6 Ba 3.50, 2 Cd 3.68
Cd (0.0000, 0.3866, 0.7500)  9 Ba 3.47-3.84

Results
raw total energy	-643.25	eV for the cell shown
formation energy from the elements	-2.22	eV per formula unit



Record 2
Entry from Alexandria: a crystal of Ba7Cd31 relaxed with PBEsol (SCAN).

abc: 10.4811 10.4811 10.1998
angles: 90.00 90.00 120.00
With the nearest neighbours (Å) after each atom.
Space group P-6m2 (No. 187)
Asymmetric unit:
Ba (0.0000, 0.0000, 0.0000)  14 Cd 3.48-3.82
Ba (0.1678, 0.3355, 0.5000)  14 Cd 3.37-3.77
Ba (0.3333, 0.6667, 0.0000)  20 Cd 3.48-3.83
Ba (0.6667, 0.3333, 0.2044)  15 Cd 3.37-3.57
Cd (0.0000, 0.0000, 0.3498)  4 Cd 2.86-3.06
Cd (0.0345, 0.5173, 0.2608)  6 Cd 2.85-3.14
Cd (0.1667, 0.3333, 0.1693)  6 Cd 2.91-3.08
Cd (0.3031, 0.1516, 0.2726)  3 Cd 2.86-3.08
Cd (0.3333, 0.6667, 0.3464)  4 Cd 2.85-3.13
Cd (0.3902, 0.0575, 0.0000)  8 Cd 2.88-3.23
Cd (0.5697, 0.1394, 0.5000)  4 Cd 2.91-3.05

Results
raw total energy	-1230.46	eV for the cell shown
formation energy from the elements	-10.76	eV per formula unit



Record 3
Entry from Alexandria: a crystal of Ba3Cd relaxed with PBEsol (SCAN).

abc: 4.3163 6.3242 13.3741
angles: 90.00 90.00 90.00
With the nearest neighbours (Å) after each atom.
Space group Immm (No. 71)
Asymmetric unit:
Ba (0.0000, 0.0000, 0.0000)  4 Cd 3.83, 4 Ba 4.18
Ba (0.0000, 0.5000, 0.2044)  2 Cd 3.48
Cd (0.0000, 0.0000, 0.5000)  8 Ba 3.48-3.83

Results
raw total energy	-299.22	eV for the cell shown
formation energy from the elements	-0.55	eV per formula unit
energy relative to the lowest polymorph listed for this composition	54.7	meV per atom



Record 4
Entry from Alexandria: a crystal of BaCd2 relaxed with PBEsol (SCAN).

abc: 13.6602 4.5710 6.2020
angles: 90.00 98.02 90.00
With the nearest neighbours (Å) after each atom.
Space group C2/m (No. 12)
Asymmetric unit:
Ba (0.1077, 0.0000, 0.3331)  8 Cd 3.39-3.80
Cd (0.0831, 0.5000, 0.8396)  4 Cd 2.92-3.22
Cd (0.2172, 0.0000, 0.8590)  5 Cd 2.92-3.08

Results
raw total energy	-405.28	eV for the cell shown
formation energy from the elements	-0.94	eV per formula unit



Record 5
Entry from Alexandria: a crystal of Ba3Cd relaxed with PBEsol (SCAN).

abc: 8.5797 11.2541 7.8029
angles: 90.00 90.00 90.00
With the nearest neighbours (Å) after each atom.
Space group Pnma (No. 62)
Asymmetric unit:
Ba (0.0161, 0.2500, 0.1124)  2 Cd 3.48-3.50
Ba (0.1845, 0.0553, 0.6771)  2 Cd 3.47-3.59
Cd (0.1037, 0.7500, 0.4584)  6 Ba 3.47-3.59

Results
raw total energy	-598.97	eV for the cell shown
formation energy from the elements	-0.68	eV per formula unit
energy relative to the lowest polymorph listed for this composition	22.4	meV per atom



Record 6
Entry from Alexandria: a crystal of Ba3Cd2 relaxed with PBEsol (SCAN).

abc: 5.8583 5.8583 7.1335
angles: 90.00 90.00 120.00
With the nearest neighbours (Å) after each atom.
Space group P-3m1 (No. 164)
Asymmetric unit:
Ba (0.0000, 0.0000, 0.0000)  6 Cd 3.56
Ba (0.3333, 0.6667, 0.3328)  5 Cd 3.48-3.66
Cd (0.3333, 0.6667, 0.8454)  8 Ba 3.48-3.66

Results
raw total energy	-180.86	eV for the cell shown
formation energy from the elements	-1.38	eV per formula unit



Record 7
Entry from Alexandria: a crystal of BaCd2 relaxed with PBEsol (SCAN).

abc: 7.0145 5.2948 9.8219
angles: 90.00 90.00 90.00
With the nearest neighbours (Å) after each atom.
Space group Pnma (No. 62)
Asymmetric unit:
Ba (0.1662, 0.2500, 0.0766)  9 Cd 3.31-3.67
Cd (0.0219, 0.2500, 0.7082)  3 Cd 3.02-3.13
Cd (0.1438, 0.2500, 0.4135)  3 Cd 3.02-3.13, 4 Ba 3.31-3.37

Results
raw total energy	-404.57	eV for the cell shown
formation energy from the elements	-0.76	eV per formula unit



Record 8
Entry from Alexandria: a crystal of BaCd2 relaxed with PBEsol (SCAN).

abc: 4.6447 14.5407 5.3121
angles: 90.00 90.00 90.00
With the nearest neighbours (Å) after each atom.
Space group Cmcm (No. 63)
Asymmetric unit:
Ba (0.0000, 0.0832, 0.2500)  10 Cd 3.44-3.80, 2 Ba 3.59
Cd (0.0000, 0.2418, 0.7500)  2 Cd 2.89
Cd (0.0000, 0.3761, 0.2500)  2 Cd 2.89

Results
raw total energy	-405.11	eV for the cell shown
formation energy from the elements	-0.90	eV per formula unit



Record 9
Entry from Alexandria: a crystal of Ba3Cd relaxed with PBEsol (SCAN).

abc: 4.2222 4.2222 10.6181
angles: 90.00 90.00 90.00
With the nearest neighbours (Å) after each atom.
Space group P4/mmm (No. 123)
Asymmetric unit:
Ba (0.0000, 0.0000, 0.0000)  12 Ba 4.22-4.50
Ba (0.5000, 0.5000, 0.3167)  4 Cd 3.56, 1 Ba 3.89
Cd (0.0000, 0.0000, 0.5000)  8 Ba 3.56

Results
raw total energy	-149.83	eV for the cell shown
formation energy from the elements	-0.77	eV per formula unit
energy relative to the lowest polymorph listed for this composition	0.0	meV per atom



Record 10
Entry from Alexandria: a crystal of BaCd2 relaxed with PBEsol (SCAN).

abc: 8.8489 8.8489 8.8489
angles: 90.00 90.00 90.00
With the nearest neighbours (Å) after each atom.
Space group Fd-3m (No. 227, origin choice 2)
Asymmetric unit:
Ba (0.1250, 0.1250, 0.1250)  12 Cd 3.67, 4 Ba 3.83
Cd (0.0000, 0.0000, 0.5000)  6 Cd 3.13

Results
raw total energy	-810.91	eV for the cell shown
formation energy from the elements	-0.98	eV per formula unit



Record 11
Entry from Alexandria: a crystal of Ba5Cd24 relaxed with PBEsol (SCAN).

abc: 11.3429 11.3429 11.3429
angles: 90.00 90.00 90.00
With the nearest neighbours (Å) after each atom.
Space group I-43m (No. 217)
Asymmetric unit:
Ba (0.0000, 0.0000, 0.0000)  12 Cd 3.54, 4 Ba 3.70
Ba (0.1884, 0.1884, 0.8116)  15 Cd 3.36-3.65, 1 Ba 3.70
Cd (0.0236, 0.3598, 0.3598)  1 Cd 2.83
Cd (0.0904, 0.0904, 0.2846)  4 Cd 2.83-3.12

Results
raw total energy	-1865.67	eV for the cell shown
formation energy from the elements	-5.14	eV per formula unit



Record 12
Entry from Alexandria: a crystal of BaCd5 relaxed with PBEsol (SCAN).

abc: 8.5053 8.5053 8.5053
angles: 90.00 90.00 90.00
With the nearest neighbours (Å) after each atom.
Space group F-43m (No. 216)
Asymmetric unit:
Ba (0.0000, 0.0000, 0.0000)  16 Cd 3.53-3.68
Cd (0.1243, 0.1243, 0.3757)  6 Cd 2.99-3.02
Cd (0.2500, 0.2500, 0.7500)  12 Cd 3.52, 4 Ba 3.68

Results
raw total energy	-770.23	eV for the cell shown
formation energy from the elements	-0.93	eV per formula unit



Record 13
Entry from Alexandria: a crystal of BaCd2 relaxed with PBEsol (SCAN).

abc: 5.1860 8.2637 8.4519
angles: 90.00 90.00 90.00
With the nearest neighbours (Å) after each atom.
Space group Imma (No. 74)
Asymmetric unit:
Ba (0.0000, 0.2500, 0.0528)  12 Cd 3.52-3.80
Cd (0.0000, 0.0661, 0.6634)  4 Cd 2.97-3.04

Results
raw total energy	-406.33	eV for the cell shown
formation energy from the elements	-1.20	eV per formula unit



Record 14
Entry from Alexandria: a crystal of BaCd2 relaxed with PBEsol (SCAN).

abc: 4.7236 4.7236 17.6880
angles: 90.00 90.00 90.00
With the nearest neighbours (Å) after each atom.
Space group I4_1/amd (No. 141, origin choice 2)
Asymmetric unit:
Ba (0.0000, 0.2500, 0.3750)  12 Cd 3.64-3.80
Cd (0.0000, 0.2500, 0.7932)  3 Cd 2.81-2.89

Results
raw total energy	-406.01	eV for the cell shown
formation energy from the elements	-1.12	eV per formula unit



Record 15
Entry from Alexandria: a crystal of BaCd2 relaxed with PBEsol (SCAN).

abc: 4.4269 6.7850 12.8333
angles: 90.00 90.00 90.00
With the nearest neighbours (Å) after each atom.
Space group Immm (No. 71)
Asymmetric unit:
Ba (0.0000, 0.0000, 0.1721)  8 Cd 3.47-3.62
Cd (0.0000, 0.2300, 0.5000)  5 Cd 3.08-3.12
Cd (0.0000, 0.5000, 0.1135)  5 Cd 2.91-3.08

Results
raw total energy	-405.08	eV for the cell shown
formation energy from the elements	-0.89	eV per formula unit



Record 16
Entry from Alexandria: a crystal of BaCdCl2 relaxed with PBEsol (SCAN).

abc: 5.0635 5.0635 4.2133
angles: 90.00 90.00 90.00
With the nearest neighbours (Å) after each atom.
Space group P4/mmm (No. 123)
Asymmetric unit:
Ba (0.0000, 0.0000, 0.0000)  8 Cl 3.29, 4 Cd 3.58
Cd (0.5000, 0.5000, 0.0000)  8 Cl 3.29, 4 Ba 3.58
Cl (0.0000, 0.5000, 0.5000)  4 Cd 3.29, 4 Ba 3.29, 4 Cl 3.58

Results
raw total energy	-92.76	eV for the cell shown
energy relative to the lowest polymorph listed for this composition	86.8	meV per atom



Record 17
Entry from Alexandria: a crystal of BaCdCl relaxed with PBEsol (SCAN).

abc: 7.4123 7.4123 7.4123
angles: 90.00 90.00 90.00
With the nearest neighbours (Å) after each atom.
Space group F-43m (No. 216)
Asymmetric unit:
Ba (0.0000, 0.0000, 0.0000)  4 Cl 3.21
Cd (0.0000, 0.0000, 0.5000)  4 Cl 3.21
Cl (0.2500, 0.2500, 0.2500)  4 Cd 3.21, 4 Ba 3.21

Results
raw total energy	-325.13	eV for the cell shown
energy relative to the lowest polymorph listed for this composition	39.4	meV per atom



Record 18
Entry from Alexandria: a crystal of BaCdCl2 relaxed with PBEsol (SCAN).

abc: 8.2777 4.7754 8.3756
angles: 90.00 109.04 90.00
With the nearest neighbours (Å) after each atom.
Space group C2/m (No. 12)
Asymmetric unit:
Ba (0.0000, 0.0000, 0.0000)  6 Cl 3.06
Cd (0.0000, 0.5000, 0.5000)  6 Cl 3.81-3.82
Cl (0.2220, 0.5000, 0.1674)  3 Ba 3.06

Results
raw total energy	-186.21	eV for the cell shown
energy relative to the lowest polymorph listed for this composition	0.0	meV per atom



Record 19
Entry from Alexandria: a crystal of BaCdCl relaxed with PBEsol (SCAN).

abc: 5.1872 5.1872 4.6478
angles: 90.00 90.00 120.00
With the nearest neighbours (Å) after each atom.
Space group P-6m2 (No. 187)
Asymmetric unit:
Ba (0.0000, 0.0000, 0.0000)  3 Cl 2.99
Cd (0.3333, 0.6667, 0.5000)  6 Ba 3.79, 6 Cl 3.79
Cl (0.6667, 0.3333, 0.0000)  3 Ba 2.99

Results
raw total energy	-81.40	eV for the cell shown
energy relative to the lowest polymorph listed for this composition	0.0	meV per atom



Record 20
Entry from Alexandria: a crystal of BaCdCo2 relaxed with PBEsol (SCAN).

abc: 3.4803 3.4803 6.8396
angles: 90.00 90.00 90.00
With the nearest neighbours (Å) after each atom.
Space group P4/mmm (No. 123)
Asymmetric unit:
Ba (0.0000, 0.0000, 0.0000)  8 Co 3.39, 2 Cd 3.42, 4 Ba 3.48
Cd (0.0000, 0.0000, 0.5000)  8 Co 2.69
Co (0.5000, 0.5000, 0.3403)  1 Co 2.18

Results
raw total energy	-102.38	eV for the cell shown
formation energy from the elements	2.19	eV per formula unit



Record 21
Entry from Alexandria: a crystal of BaCdCo2 relaxed with PBEsol (SCAN).

abc: 3.7939 4.1442 11.0310
angles: 90.00 90.00 90.00
With the nearest neighbours (Å) after each atom.
Space group Amm2 (No. 38)
Asymmetric unit:
Ba (0.0000, 0.0000, 0.0000)  7 Co 3.03-3.24
Cd (0.5000, 0.0000, 0.2811)  6 Co 2.66-2.88
Co (0.0000, 0.0000, 0.7252)  2 Co 2.17
Co (0.5000, 0.0000, 0.6303)  2 Co 2.17

Results
raw total energy	-206.00	eV for the cell shown
formation energy from the elements	1.57	eV per formula unit



Record 22
Entry from Alexandria: a crystal of BaCd2Co relaxed with PBEsol (SCAN).

abc: 4.8799 5.6777 7.4336
angles: 90.00 90.00 90.00
With the nearest neighbours (Å) after each atom.
Space group Imm2 (No. 44)
Asymmetric unit:
Ba (0.0000, 0.0000, 0.0000)  2 Co 3.06, 4 Cd 3.22-3.29
Cd (0.0000, 0.0000, 0.5293)  2 Co 2.61
Cd (0.0000, 0.5000, 0.7969)  1 Co 2.66
Co (0.0000, 0.5000, 0.1540)  3 Cd 2.61-2.66

Results
raw total energy	-233.08	eV for the cell shown
formation energy from the elements	1.14	eV per formula unit



Record 23
Entry from Alexandria: a crystal of BaCd2Co relaxed with PBEsol (SCAN).

abc: 3.5247 3.5247 7.5404
angles: 90.00 90.00 90.00
With the nearest neighbours (Å) after each atom.
Space group P4mm (No. 99)
Asymmetric unit:
Ba (0.0000, 0.0000, 0.0000)  1 Cd 3.22, 4 Co 3.36, 4 Ba 3.52
Cd (0.0000, 0.0000, 0.5735)  4 Co 2.67
Cd (0.5000, 0.5000, 0.3464)  1 Co 2.68
Co (0.5000, 0.5000, 0.7012)  5 Cd 2.67-2.68

Results
raw total energy	-116.89	eV for the cell shown
formation energy from the elements	0.79	eV per formula unit



Record 24
Entry from Alexandria: a crystal of BaCd3Co relaxed with PBEsol (SCAN).

abc: 6.2486 6.2486 6.2486
angles: 90.00 90.00 90.00
With the nearest neighbours (Å) after each atom.
Space group Pm-3m (No. 221)
Asymmetric unit:
Ba (0.0000, 0.0000, 0.0000)  6 Cd 3.12
Cd (0.0000, 0.0000, 0.5000)  2 Ba 3.12
Co (0.5000, 0.5000, 0.5000)  12 Cd 4.42

Results
raw total energy	-141.63	eV for the cell shown
formation energy from the elements	6.47	eV per formula unit